No. 1
Here is an optimized crystal structure of TaBe2Mo from the Alexandria database. Energies are from GGA-PBE.

Unit cell a=6.429 b=6.429 c=5.242 alpha=52.18 beta=52.18 gamma=90.00
Atoms (fractional coordinates):
Be: 0.612 0.125 0.250
Be: 0.138 0.625 0.250
Be: 0.375 0.388 0.750
Be: 0.875 0.862 0.750
Mo: 0.500 0.500 0.000
Mo: 0.250 0.750 0.500
Ta: 0.000 0.000 0.000
Ta: 0.750 0.250 0.500

Summary:
* total DFT energy (no corrections): -7.1500 eV/atom
* magnetic moment: 0.000 μB/atom
* polymorph energy (0 for the lowest one): 619.6 meV/atom
* formation enthalpy at 0 K: 0.384 eV per atom
* SG: I-42d (122)

No. 2
Here is an optimized crystal structure of TaBeMo from the Alexandria database. Energies are from GGA-PBE.

Unit cell a=3.194 b=4.862 c=6.008 alpha=78.65 beta=75.28 gamma=71.54
Atoms (fractional coordinates):
Be: 0.884 0.088 0.653
Be: 0.116 0.912 0.347
Mo: 0.607 0.663 0.625
Mo: 0.393 0.337 0.375
Ta: 0.174 0.241 0.939
Ta: 0.826 0.759 0.061

Summary:
* total DFT energy (no corrections): -8.8311 eV/atom
* magnetic moment: 0.000 μB/atom
* polymorph energy (0 for the lowest one): 143.9 meV/atom
* formation enthalpy at 0 K: -0.028 eV per atom
* SG: P-1 (2)

No. 3
Here is an optimized crystal structure of Ta4BeMo2 from the Alexandria database. Energies are from GGA-PBE.

Unit cell a=4.414 b=4.414 c=7.196 alpha=72.14 beta=72.14 gamma=90.00
Atoms (fractional coordinates):
Be: 0.000 0.000 0.000
Mo: 0.624 0.624 0.751
Mo: 0.376 0.376 0.249
Ta: 0.819 0.819 0.362
Ta: 0.181 0.181 0.638
Ta: 0.000 0.500 0.000
Ta: 0.500 0.000 0.000

Summary:
* total DFT energy (no corrections): -9.6339 eV/atom
* magnetic moment: 0.000 μB/atom
* formation enthalpy at 0 K: 0.766 eV per atom
* SG: I4/mmm (139)

No. 4
Here is an optimized crystal structure of Ta2BeMo from the Alexandria database. Energies are from GGA-PBE.

Unit cell a=2.757 b=2.757 c=8.312 alpha=90.00 beta=90.00 gamma=103.16
Atoms (fractional coordinates):
Be: 0.500 0.500 0.250
Mo: 0.500 0.500 0.750
Ta: 0.000 0.000 0.030
Ta: 0.000 0.000 0.470

Summary:
* total DFT energy (no corrections): -9.5100 eV/atom
* magnetic moment: 0.000 μB/atom
* formation enthalpy at 0 K: 0.056 eV per atom
* SG: Cmmm (65)

No. 5
Here is an optimized crystal structure of TaBe2Mo from the Alexandria database. Energies are from GGA-PBE.

Unit cell a=3.274 b=3.274 c=5.106 alpha=90.00 beta=90.00 gamma=90.00
Atoms (fractional coordinates):
Be: 0.000 0.000 0.992
Be: 0.500 0.500 0.266
Mo: 0.000 0.000 0.485
Ta: 0.500 0.500 0.757

Summary:
* total DFT energy (no corrections): -7.2627 eV/atom
* magnetic moment: 0.000 μB/atom
* polymorph energy (0 for the lowest one): 506.9 meV/atom
* formation enthalpy at 0 K: 0.271 eV per atom
* SG: P4mm (99)

No. 6
Here is an optimized crystal structure of TaBe17Mo from the Alexandria database. Energies are from GGA-PBE.

Unit cell a=5.522 b=5.522 c=5.522 alpha=83.14 beta=83.14 gamma=83.14
Atoms (fractional coordinates):
Ta: 0.340 0.340 0.340
Be: 0.299 0.998 0.704
Be: 0.704 0.299 0.998
Be: 0.998 0.704 0.299
Be: 0.299 0.704 0.998
Be: 0.998 0.299 0.704
Be: 0.704 0.998 0.299
Be: 0.350 0.837 0.350
Be: 0.350 0.350 0.837
Be: 0.837 0.350 0.350
Be: 0.653 0.158 0.653
Be: 0.653 0.653 0.158
Be: 0.158 0.653 0.653
Be: 0.003 0.497 0.003
Be: 0.003 0.003 0.497
Be: 0.497 0.003 0.003
Be: 0.899 0.899 0.899
Be: 0.098 0.098 0.098
Mo: 0.659 0.659 0.659

Summary:
* total DFT energy (no corrections): -4.7035 eV/atom
* magnetic moment: 0.000 μB/atom
* formation enthalpy at 0 K: -0.176 eV per atom
* SG: R3m (160)